{
  "formula": "Rb3CuSe2",
  "functional": "GGA-PBE",
  "state": "optimized geometry",
  "cell": [[-0.7756, -4.2441, -1.2643], [13.7327, -1.9449, -1.8956], [1.1557, -3.8961, 12.3702]],
  "species": ["Rb", "Rb", "Rb", "Rb", "Rb", "Rb", "Rb", "Rb", "Rb", "Rb", "Rb", "Rb", "Cu", "Cu", "Cu", "Cu", "Se", "Se", "Se", "Se", "Se", "Se", "Se", "Se"],
  "frac_coords": [[0.2500, 0.3859, 0.0713], [0.7500, 0.6141, 0.9287], [0.7500, 0.8859, 0.4287], [0.2500, 0.1141, 0.5713], [0.2500, 0.7019, 0.1801], [0.7500, 0.2981, 0.8199], [0.7500, 0.2019, 0.3199], [0.2500, 0.7981, 0.6801], [0.2500, 0.4449, 0.3812], [0.7500, 0.5551, 0.6188], [0.7500, 0.9449, 0.1188], [0.2500, 0.0551, 0.8812], [0.2500, 0.1338, 0.1381], [0.7500, 0.8662, 0.8619], [0.7500, 0.6338, 0.3619], [0.2500, 0.3662, 0.6381], [0.2500, 0.6829, 0.4394], [0.7500, 0.3171, 0.5606], [0.7500, 0.1829, 0.0606], [0.2500, 0.8171, 0.9394], [0.2500, 0.0301, 0.2933], [0.7500, 0.9699, 0.7067], [0.7500, 0.5301, 0.2067], [0.2500, 0.4699, 0.7933]],
  "volume_a3_per_atom": 34.144,
  "energy_ev_per_atom": -3.140
}